[1]
First-principles (PBE-GGA) data for a geometry-optimized Mg2Sc2TlAg3 structure, as listed in the Open Quantum Materials Database.

**ρ**: 7.0 g cm⁻³
**DFT total energy**: -3.599 eV/atom
**SG**: P-4m2

a b c (Å): 4.798 4.798 6.897
angles (deg): 90.00 90.00 90.00
Atoms (fractional coordinates):
Mg 0.500 0.000 0.262
Tl 0.000 0.000 0.000
Sc 0.500 0.000 0.741
Ag 0.500 0.500 0.000
Sc 0.000 0.500 0.259
Mg 0.000 0.500 0.738
Ag 0.500 0.500 0.500
Ag 0.000 0.000 0.500

---

[2]
First-principles (PBE-GGA) data for a geometry-optimized Li6Gd2O7 structure, as listed in the Open Quantum Materials Database.

**ρ**: 4.4 g cm⁻³
**DFT total energy**: -5.839 eV/atom
**SG**: P-1

a b c (Å): 5.577 6.194 5.540
angles (deg): 85.14 100.56 111.10
Atoms (fractional coordinates):
Li 0.466 0.393 0.328
O 0.260 0.559 0.432
O 0.677 0.439 0.669
O 0.714 0.659 0.142
Li 0.900 0.502 0.005
O 0.250 0.813 0.875
Gd 0.994 0.732 0.518
Li 0.508 0.647 0.771
Li 0.600 0.123 0.745
Li 0.034 0.232 0.422
O 0.823 0.186 0.081
Li 0.992 0.978 0.979
Gd 0.506 0.893 0.232
O 0.786 0.966 0.608
O 0.240 0.066 0.318

---

[3]
First-principles (PBE-GGA) data for a geometry-optimized Fe2HgW structure, as listed in the Open Quantum Materials Database.

**ρ**: 13.7 g cm⁻³
**Formation energy**: 0.68 eV per atom
**SG**: F-43m

a b c (Å): 4.399 4.399 4.399
angles (deg): 60.00 60.00 60.00
Atoms (fractional coordinates):
Fe 0.000 0.000 0.000
Fe 0.750 0.750 0.750
Hg 0.250 0.250 0.250
W 0.500 0.500 0.500

---

[4]
First-principles (PBE-GGA) data for a geometry-optimized TbFeBr structure, as listed in the Open Quantum Materials Database.

**ρ**: 6.5 g cm⁻³
**DFT total energy**: -5.805 eV/atom
**SG**: R-3m

a b c (Å): 11.853 11.853 11.853
angles (deg): 18.82 18.82 18.82
Atoms (fractional coordinates):
Fe 0.165 0.165 0.165
Br 0.278 0.278 0.278
Fe 0.835 0.835 0.835
Tb 0.443 0.443 0.443
Br 0.722 0.722 0.722
Tb 0.557 0.557 0.557

---

[5]
First-principles (PBE-GGA) data for a geometry-optimized Dy4CI3Cl2 structure, as listed in the Open Quantum Materials Database.

**ρ**: 6.3 g cm⁻³
**DFT total energy**: -4.935 eV/atom
**SG**: C2/m

a b c (Å): 9.330 9.330 8.431
angles (deg): 99.81 99.81 24.09
Atoms (fractional coordinates):
Cl 0.149 0.149 0.294
Dy 0.367 0.367 0.937
Cl 0.851 0.851 0.706
Dy 0.633 0.633 0.063
Dy 0.002 0.002 0.808
I 0.500 0.500 0.500
I 0.825 0.825 0.191
I 0.175 0.175 0.809
C 0.500 0.500 0.000
Dy 0.998 0.998 0.192

---

[6]
First-principles (PBE-GGA) data for a geometry-optimized Na2GaCuF7 structure, as listed in the Open Quantum Materials Database.

**ρ**: 4.1 g cm⁻³
**DFT total energy**: -4.387 eV/atom
**SG**: Imma

a b c (Å): 7.069 7.069 7.069
angles (deg): 121.12 90.33 118.52
Atoms (fractional coordinates):
Na 0.500 0.000 0.500
F 0.332 0.654 0.089
F 0.936 0.758 0.589
Na 0.500 0.500 0.500
F 0.064 0.242 0.411
F 0.645 0.735 0.910
Na 0.500 0.000 0.000
Ga 0.000 0.500 0.500
Cu 0.000 0.000 0.500
F 0.936 0.346 0.178
F 0.326 0.735 0.590
F 0.064 0.654 0.822
Na 0.000 0.000 0.000
F 0.332 0.242 0.678
F 0.103 0.853 0.250
Cu 0.000 0.500 0.000
Ga 0.500 0.500 0.000
F 0.668 0.758 0.322
F 0.674 0.265 0.410
F 0.668 0.346 0.911
F 0.355 0.265 0.090
F 0.897 0.147 0.750

---

[7]
First-principles (PBE-GGA) data for a geometry-optimized AcTbB4 structure, as listed in the Open Quantum Materials Database.

**ρ**: 8.7 g cm⁻³
**DFT total energy**: -6.130 eV/atom
**SG**: P6/mmm

a b c (Å): 3.341 3.341 8.431
angles (deg): 90.00 90.00 120.00
Atoms (fractional coordinates):
B 0.333 0.667 0.274
Tb 0.000 0.000 0.500
B 0.667 0.333 0.726
B 0.333 0.667 0.726
Ac 0.000 0.000 0.000
B 0.667 0.333 0.274

---

[8]
First-principles (PBE-GGA) data for a geometry-optimized Cu5Ag4 structure, as listed in the Open Quantum Materials Database.

**ρ**: 9.5 g cm⁻³
**Formation energy**: 0.09 eV per atom
**SG**: Cm

a b c (Å): 6.014 6.014 8.363
angles (deg): 103.89 103.89 26.57
Atoms (fractional coordinates):
Cu 0.656 0.656 0.880
Cu 0.004 0.004 0.982
Cu 0.344 0.344 0.779
Ag 0.334 0.334 0.087
Ag 0.992 0.992 0.343
Cu 0.336 0.336 0.464
Ag 0.672 0.672 0.572
Cu 0.995 0.995 0.673
Ag 0.667 0.667 0.220

---

[9]
First-principles (PBE-GGA) data for a geometry-optimized ZrAlCu2 structure, as listed in the Open Quantum Materials Database.

**ρ**: 6.5 g cm⁻³
**DFT total energy**: -5.178 eV/atom
**SG**: Pnma

a b c (Å): 5.260 6.400 7.417
angles (deg): 90.00 90.00 90.00
Atoms (fractional coordinates):
Zr 0.352 0.750 0.545
Al 0.154 0.250 0.600
Al 0.847 0.750 0.400
Zr 0.648 0.250 0.455
Cu 0.399 0.050 0.814
Al 0.654 0.750 0.900
Cu 0.601 0.550 0.186
Cu 0.601 0.950 0.186
Cu 0.899 0.550 0.686
Cu 0.101 0.050 0.314
Zr 0.148 0.750 0.045
Cu 0.399 0.450 0.814
Al 0.346 0.250 0.100
Cu 0.899 0.950 0.686
Zr 0.852 0.250 0.955
Cu 0.101 0.450 0.314

---

[10]
First-principles (PBE-GGA) data for a geometry-optimized Sr2Hf2Pt3 structure, as listed in the Open Quantum Materials Database.

**ρ**: 11.3 g cm⁻³
**DFT total energy**: -6.355 eV/atom
**SG**: R3m

a b c (Å): 8.444 8.444 8.444
angles (deg): 33.60 33.60 33.60
Atoms (fractional coordinates):
Pt 0.874 0.874 0.874
Sr 0.246 0.246 0.246
Hf 0.505 0.505 0.505
Pt 0.626 0.626 0.626
Hf 0.994 0.994 0.994
Pt 0.377 0.377 0.377
Sr 0.752 0.752 0.752

---

[11]
First-principles (PBE-GGA) data for a geometry-optimized RbSnW structure, as listed in the Open Quantum Materials Database.

**ρ**: 6.0 g cm⁻³
**DFT total energy**: -3.558 eV/atom
**SG**: F-43m

a b c (Å): 5.328 5.328 5.328
angles (deg): 60.00 60.00 60.00
Atoms (fractional coordinates):
Sn 0.250 0.250 0.250
Rb 0.000 0.000 0.000
W 0.750 0.750 0.750

---

[12]
First-principles (PBE-GGA) data for a geometry-optimized Y2TmMg3Pd2Pt structure, as listed in the Open Quantum Materials Database.

**ρ**: 7.1 g cm⁻³
**DFT total energy**: -5.058 eV/atom
**SG**: Amm2

a b c (Å): 4.103 7.353 7.353
angles (deg): 119.76 90.00 90.00
Atoms (fractional coordinates):
Tm 0.000 0.594 0.594
Mg 0.500 0.244 0.244
Y 0.000 0.408 0.000
Y 0.000 0.000 0.408
Mg 0.500 0.000 0.755
Pd 0.500 0.338 0.665
Mg 0.500 0.755 0.000
Pd 0.500 0.665 0.338
Pt 0.000 0.996 0.996